(1)
Density functional theory data (PBEsol) for a relaxed Y2TlOs crystal.

Computed properties:
density of states at the Fermi level	0.69	states/eV per atom
energy above the lowest structure with this stoichiometry	48.0	kJ/mol of atoms
raw total energy	-6.9629	eV per atom
magnetic moment	0.000	μB per atom

Unit cell a=3.4628 b=4.5196 c=6.0383 alpha=90.00 beta=90.00 gamma=90.00
Closest atoms and distances in Å follow each position.
Atoms (fractional coordinates):
1 Y 0.0000 0.0000 0.0000  1 Os 2.74
2 Y 0.5000 0.5000 0.3342  2 Tl 2.86-3.18, 4 Os 2.94
3 Tl 0.5000 0.5000 0.8082  6 Y 2.86-3.18
4 Os 0.0000 0.0000 0.4540  5 Y 2.74-2.94


(2)
Density functional theory data (PBEsol) for a relaxed Zr3CuH crystal.

Computed properties:
density of states at the Fermi level	0.85	states/eV per atom
raw total energy	-7.1198	eV per atom
magnetic moment	0.000	μB per atom

Unit cell a=4.2983 b=4.2983 c=4.2983 alpha=90.00 beta=90.00 gamma=90.00
Closest atoms and distances in Å follow each position.
Atoms (fractional coordinates):
1 Zr 0.0000 0.0000 0.5000  2 H 2.15
2 Zr 0.0000 0.5000 0.0000  2 H 2.15
3 Zr 0.5000 0.0000 0.0000  2 H 2.15
4 Cu 0.5000 0.5000 0.5000  12 Zr 3.04
5 H 0.0000 0.0000 0.0000  6 Zr 2.15


(3)
Density functional theory data (PBEsol) for a relaxed TlPt3Rh crystal.

Computed properties:
density of states at the Fermi level	1.99	states/eV per atom
raw total energy	-4.3068	eV per atom
magnetic moment	0.372	μB per atom

Unit cell a=4.8930 b=4.8930 c=4.8930 alpha=90.00 beta=90.00 gamma=90.00
Closest atoms and distances in Å follow each position.
Atoms (fractional coordinates):
1 Tl 0.0000 0.0000 0.0000  6 Pt 2.45
2 Pt 0.0000 0.0000 0.5000  2 Tl 2.45
3 Pt 0.0000 0.5000 0.0000  2 Tl 2.45
4 Pt 0.5000 0.0000 0.0000  2 Tl 2.45
5 Rh 0.5000 0.5000 0.5000  12 Pt 3.46


(4)
Density functional theory data (PBEsol) for a relaxed LaSnAu crystal.

Computed properties:
density of states at the Fermi level	0.08	states/eV per atom
raw total energy	-5.4015	eV per atom
magnetic moment	0.000	μB per atom

Unit cell a=4.7459 b=4.7459 c=7.7198 alpha=90.00 beta=90.00 gamma=120.00
Closest atoms and distances in Å follow each position.
Atoms (fractional coordinates):
1 La 0.0000 0.0000 0.0000  3 Au 3.12, 6 Sn 3.24-3.48
2 La 0.0000 0.0000 0.5000  3 Au 3.12, 6 Sn 3.24-3.48
3 Sn 0.3333 0.6667 0.2230  3 Au 2.82
4 Sn 0.6667 0.3333 0.7230  3 Au 2.82
5 Au 0.3333 0.6667 0.8071  3 Sn 2.82, 3 La 3.12
6 Au 0.6667 0.3333 0.3071  3 Sn 2.82, 3 La 3.12


(5)
Density functional theory data (PBEsol) for a relaxed TiPtBr2 crystal.

Computed properties:
density of states at the Fermi level	1.04	states/eV per atom
raw total energy	-4.7310	eV per atom
magnetic moment	0.342	μB per atom

Unit cell a=8.7571 b=8.7571 c=8.7571 alpha=150.40 beta=150.40 gamma=42.36
Closest atoms and distances in Å follow each position.
Atoms (fractional coordinates):
1 Ti 0.0000 0.0000 0.0000  4 Br 2.57
2 Ti 0.7500 0.2500 0.5000  4 Br 2.57
3 Pt 0.2500 0.7500 0.5000  4 Br 2.60
4 Pt 0.5000 0.5000 0.0000  4 Br 2.60
5 Br 0.1179 0.6250 0.9929  2 Ti 2.57, 2 Pt 2.60
6 Br 0.3750 0.3679 0.4929  2 Ti 2.57, 2 Pt 2.60
7 Br 0.6321 0.1250 0.0071  2 Ti 2.57, 2 Pt 2.60
8 Br 0.8750 0.8821 0.5071  2 Ti 2.57, 2 Pt 2.60


(6)
Density functional theory data (PBEsol) for a relaxed CuTeRh2 crystal.

Computed properties:
density of states at the Fermi level	0.77	states/eV per atom
raw total energy	-5.8424	eV per atom
magnetic moment	0.000	μB per atom

Unit cell a=2.9810 b=4.3620 c=4.7361 alpha=90.00 beta=91.96 gamma=90.00
Closest atoms and distances in Å follow each position.
Atoms (fractional coordinates):
1 Cu 0.0000 0.0000 0.0000  4 Rh 2.59, 4 Te 2.75-2.84
2 Te 0.5000 0.0000 0.5000  4 Rh 2.61, 4 Cu 2.75-2.84
3 Rh 0.2589 0.5000 0.7578  2 Cu 2.59, 2 Te 2.61, 4 Rh 2.67-2.88
4 Rh 0.7411 0.5000 0.2422  2 Cu 2.59, 2 Te 2.61, 4 Rh 2.67-2.88


(7)
Density functional theory data (PBEsol) for a relaxed YAl2Cd2 crystal.

Computed properties:
density of states at the Fermi level	0.23	states/eV per atom
raw total energy	-3.7471	eV per atom
magnetic moment	0.000	μB per atom

Unit cell a=6.5080 b=6.5080 c=6.5080 alpha=141.80 beta=141.80 gamma=55.13
Closest atoms and distances in Å follow each position.
Atoms (fractional coordinates):
1 Y 0.0000 0.0000 0.0000  8 Al 3.25, 8 Cd 3.59
2 Al 0.3941 0.3941 0.0000  1 Al 2.44, 4 Cd 2.70
3 Al 0.6059 0.6059 0.0000  1 Al 2.44, 4 Cd 2.70
4 Cd 0.2500 0.7500 0.5000  4 Al 2.70, 4 Cd 3.01
5 Cd 0.7500 0.2500 0.5000  4 Al 2.70, 4 Cd 3.01


(8)
Density functional theory data (PBEsol) for a relaxed ZrZnPO2 crystal.

Computed properties:
density of states at the Fermi level	0.62	states/eV per atom
energy above the lowest structure with this stoichiometry	57.5	kJ/mol of atoms
raw total energy	-6.0328	eV per atom
magnetic moment	0.000	μB per atom

Unit cell a=3.8236 b=3.8236 c=4.5301 alpha=90.00 beta=90.00 gamma=90.00
Closest atoms and distances in Å follow each position.
Atoms (fractional coordinates):
1 Zr 0.0000 0.0000 0.0000  4 P 2.70, 8 O 2.96
2 Zn 0.5000 0.5000 0.5000  4 O 1.91
3 P 0.5000 0.5000 0.0000  2 Zn 2.27
4 O 0.0000 0.5000 0.5000  2 Zn 1.91
5 O 0.5000 0.0000 0.5000  2 Zn 1.91


(9)
Density functional theory data (PBEsol) for a relaxed Mg3Hg5 crystal.

Computed properties:
density of states at the Fermi level	0.37	states/eV per atom
energy above the lowest structure with this stoichiometry	0.0	kJ/mol of atoms
raw total energy	-1.2148	eV per atom
magnetic moment	0.000	μB per atom

Unit cell a=6.1155 b=6.1155 c=4.5274 alpha=90.00 beta=90.00 gamma=95.08
Closest atoms and distances in Å follow each position.
Atoms (fractional coordinates):
1 Mg 0.0000 0.0000 0.0000  8 Hg 2.90-3.06
2 Mg 0.2747 0.7253 0.5000  10 Hg 3.04-3.08, 2 Mg 3.36
3 Mg 0.7253 0.2747 0.5000  10 Hg 3.04-3.08, 2 Mg 3.36
4 Hg 0.0000 0.5000 0.0000  6 Hg 3.06-3.21, 6 Mg 3.06-3.07
5 Hg 0.2196 0.2196 0.5000  6 Mg 2.90-3.08, 6 Hg 3.21-3.24
6 Hg 0.5000 0.0000 0.0000  6 Hg 3.06-3.21, 6 Mg 3.06-3.07
7 Hg 0.5000 0.5000 0.0000  4 Mg 3.04, 8 Hg 3.06-3.24
8 Hg 0.7804 0.7804 0.5000  6 Mg 2.90-3.08, 6 Hg 3.21-3.24


(10)
Density functional theory data (PBEsol) for a relaxed BeSi2AuS crystal.

Computed properties:
density of states at the Fermi level	0.61	states/eV per atom
raw total energy	-3.5259	eV per atom
magnetic moment	0.000	μB per atom

Unit cell a=4.7085 b=4.7085 c=5.0070 alpha=90.00 beta=90.00 gamma=90.00
Closest atoms and distances in Å follow each position.
Atoms (fractional coordinates):
1 Be 0.0000 0.0000 0.0000  4 S 3.33, 8 Si 3.44
2 Si 0.0000 0.5000 0.5000  2 Au 2.35
3 Si 0.5000 0.0000 0.5000  2 Au 2.35
4 Au 0.5000 0.5000 0.5000  4 Si 2.35, 2 S 2.50
5 S 0.5000 0.5000 0.0000  2 Au 2.50


(11)
Density functional theory data (PBEsol) for a relaxed BaMoPb2 crystal.

Computed properties:
density of states at the Fermi level	0.82	states/eV per atom
energy above the lowest structure with this stoichiometry	12.1	kJ/mol of atoms
raw total energy	-4.9598	eV per atom
magnetic moment	0.538	μB per atom

Unit cell a=5.4647 b=5.4647 c=5.4647 alpha=124.43 beta=124.43 gamma=82.49
Closest atoms and distances in Å follow each position.
Atoms (fractional coordinates):
1 Ba 0.0000 0.0000 0.0000  8 Pb 3.27, 4 Mo 3.60
2 Mo 0.5000 0.5000 0.0000  8 Pb 3.27, 4 Ba 3.60
3 Pb 0.2500 0.7500 0.5000  4 Ba 3.27, 4 Mo 3.27, 4 Pb 3.60
4 Pb 0.7500 0.2500 0.5000  4 Ba 3.27, 4 Mo 3.27, 4 Pb 3.60


(12)
Density functional theory data (PBEsol) for a relaxed Ho3TlC crystal.

Computed properties:
density of states at the Fermi level	0.31	states/eV per atom
raw total energy	-3.7783	eV per atom
magnetic moment	0.000	μB per atom

Unit cell a=5.4959 b=5.4959 c=5.4959 alpha=90.00 beta=90.00 gamma=90.00
Closest atoms and distances in Å follow each position.
Atoms (fractional coordinates):
1 Ho 0.0000 0.0000 0.5000  2 Tl 2.75
2 Ho 0.0000 0.5000 0.0000  2 Tl 2.75
3 Ho 0.5000 0.0000 0.0000  2 Tl 2.75
4 Tl 0.0000 0.0000 0.0000  6 Ho 2.75
5 C 0.5000 0.5000 0.5000  12 Ho 3.89


(13)
Density functional theory data (PBEsol) for a relaxed RbNb3Co crystal.

Computed properties:
density of states at the Fermi level	1.44	states/eV per atom
raw total energy	-6.9298	eV per atom
magnetic moment	0.107	μB per atom

Unit cell a=4.7535 b=4.7535 c=4.7535 alpha=90.00 beta=90.00 gamma=90.00
Closest atoms and distances in Å follow each position.
Atoms (fractional coordinates):
1 Rb 0.0000 0.0000 0.0000  12 Nb 3.36
2 Nb 0.0000 0.5000 0.5000  2 Co 2.38
3 Nb 0.5000 0.0000 0.5000  2 Co 2.38
4 Nb 0.5000 0.5000 0.0000  2 Co 2.38
5 Co 0.5000 0.5000 0.5000  6 Nb 2.38


(14)
Density functional theory data (PBEsol) for a relaxed MgCrO2F crystal.

Computed properties:
density of states at the Fermi level	0.45	states/eV per atom
raw total energy	-6.2259	eV per atom
magnetic moment	0.600	μB per atom

Unit cell a=3.8648 b=3.8648 c=3.5848 alpha=90.00 beta=90.00 gamma=90.00
Closest atoms and distances in Å follow each position.
Atoms (fractional coordinates):
1 Mg 0.0000 0.0000 0.0000  2 F 1.79, 4 O 1.93
2 Cr 0.5000 0.5000 0.5000  8 O 2.64, 4 F 2.73
3 O 0.0000 0.5000 0.0000  2 Mg 1.93
4 O 0.5000 0.0000 0.0000  2 Mg 1.93
5 F 0.0000 0.0000 0.5000  2 Mg 1.79


(15)
Density functional theory data (PBEsol) for a relaxed Y3InAu crystal.

Computed properties:
density of states at the Fermi level	1.63	states/eV per atom
raw total energy	-4.9990	eV per atom
magnetic moment	0.282	μB per atom

Unit cell a=5.5446 b=5.5446 c=5.5446 alpha=90.00 beta=90.00 gamma=90.00
Closest atoms and distances in Å follow each position.
Atoms (fractional coordinates):
1 Y 0.0000 0.0000 0.5000  2 In 2.77
2 Y 0.0000 0.5000 0.0000  2 In 2.77
3 Y 0.5000 0.0000 0.0000  2 In 2.77
4 In 0.0000 0.0000 0.0000  6 Y 2.77
5 Au 0.5000 0.5000 0.5000  12 Y 3.92


(16)
Density functional theory data (PBEsol) for a relaxed LaCrSe3 crystal.

Computed properties:
density of states at the Fermi level	0.06	states/eV per atom
raw total energy	-6.7082	eV per atom
magnetic moment	0.597	μB per atom

Unit cell a=8.0815 b=3.9472 c=13.5857 alpha=90.00 beta=90.00 gamma=90.00
Closest atoms and distances in Å follow each position.
Atoms (fractional coordinates):
1 La 0.0956 0.2500 0.1717  9 Se 3.06-3.29
2 La 0.4044 0.7500 0.6717  9 Se 3.06-3.29
3 La 0.5956 0.2500 0.3283  9 Se 3.06-3.29
4 La 0.9044 0.7500 0.8283  9 Se 3.06-3.29
5 Cr 0.1631 0.7500 0.4481  6 Se 2.47-2.56
6 Cr 0.3369 0.2500 0.9481  6 Se 2.47-2.56
7 Cr 0.6631 0.7500 0.0519  6 Se 2.47-2.56
8 Cr 0.8369 0.2500 0.5519  6 Se 2.47-2.56
9 Se 0.0118 0.7500 0.6065  3 Cr 2.47-2.54
10 Se 0.1585 0.7500 0.0039  2 Cr 2.56
11 Se 0.1887 0.2500 0.7872  1 Cr 2.49
12 Se 0.3113 0.7500 0.2872  1 Cr 2.49
13 Se 0.3415 0.2500 0.5039  2 Cr 2.56
14 Se 0.4882 0.2500 0.1065  3 Cr 2.47-2.54
15 Se 0.5118 0.7500 0.8935  3 Cr 2.47-2.54
16 Se 0.6585 0.7500 0.4961  2 Cr 2.56
17 Se 0.6887 0.2500 0.7128  1 Cr 2.49
18 Se 0.8113 0.7500 0.2128  1 Cr 2.49
19 Se 0.8415 0.2500 0.9961  2 Cr 2.56
20 Se 0.9882 0.2500 0.3935  3 Cr 2.47-2.54


(17)
Density functional theory data (PBEsol) for a relaxed Zr2TaSi crystal.

Computed properties:
density of states at the Fermi level	1.21	states/eV per atom
raw total energy	-9.3345	eV per atom
magnetic moment	0.000	μB per atom

Unit cell a=5.3743 b=5.3743 c=5.3743 alpha=136.01 beta=136.01 gamma=63.96
Closest atoms and distances in Å follow each position.
Atoms (fractional coordinates):
1 Zr 0.0000 0.0000 0.0000  4 Si 2.85, 4 Zr 3.04, 4 Ta 3.04
2 Zr 0.7500 0.2500 0.5000  4 Ta 2.85, 4 Zr 3.04, 4 Si 3.04
3 Ta 0.2500 0.7500 0.5000  8 Zr 2.85-3.04, 4 Si 3.04
4 Si 0.5000 0.5000 0.0000  8 Zr 2.85-3.04, 4 Ta 3.04


(18)
Density functional theory data (PBEsol) for a relaxed Ca3Ti8S16 crystal.

Computed properties:
density of states at the Fermi level	0.53	states/eV per atom
raw total energy	-6.8802	eV per atom
magnetic moment	0.000	μB per atom

Unit cell a=6.7641 b=6.7641 c=13.5388 alpha=90.79 beta=90.79 gamma=60.82
Closest atoms and distances in Å follow each position.
Atoms (fractional coordinates):
1 Ca 0.0000 0.0000 0.0000  6 S 2.78-2.79
2 Ca 0.0000 0.5000 0.5000  6 S 2.73-2.77
3 Ca 0.5000 0.0000 0.5000  6 S 2.73-2.77
4 Ti 0.0033 0.0033 0.7472  6 S 2.42-2.46
5 Ti 0.0089 0.5003 0.2476  6 S 2.39-2.49
6 Ti 0.4948 0.4948 0.2499  6 S 2.38-2.47
7 Ti 0.5003 0.0089 0.2476  6 S 2.39-2.49
8 Ti 0.4997 0.9911 0.7524  6 S 2.39-2.49
9 Ti 0.5052 0.5052 0.7501  6 S 2.38-2.47
10 Ti 0.9911 0.4997 0.7524  6 S 2.39-2.49
11 Ti 0.9967 0.9967 0.2528  6 S 2.42-2.46
12 S 0.1692 0.1692 0.3578  3 Ti 2.44-2.47, 2 Ca 2.73
13 S 0.1695 0.1695 0.8572  3 Ti 2.42-2.43
14 S 0.1697 0.6681 0.8533  3 Ti 2.42-2.46
15 S 0.1711 0.6691 0.3592  3 Ti 2.42-2.43
16 S 0.3304 0.3304 0.6446  3 Ti 2.47-2.49, 2 Ca 2.75
17 S 0.3315 0.3315 0.1420  3 Ti 2.38-2.39
18 S 0.3309 0.8289 0.6408  3 Ti 2.42-2.43
19 S 0.3319 0.8303 0.1467  3 Ti 2.42-2.46
20 S 0.6681 0.1697 0.8533  3 Ti 2.42-2.46
21 S 0.6691 0.1711 0.3592  3 Ti 2.42-2.43
22 S 0.6685 0.6685 0.8580  3 Ti 2.38-2.39
23 S 0.6696 0.6696 0.3554  3 Ti 2.47-2.49, 2 Ca 2.75
24 S 0.8289 0.3309 0.6408  3 Ti 2.42-2.43
25 S 0.8303 0.3319 0.1467  3 Ti 2.42-2.46
26 S 0.8305 0.8305 0.1428  3 Ti 2.42-2.43
27 S 0.8308 0.8308 0.6422  3 Ti 2.44-2.47, 2 Ca 2.73


(19)
Density functional theory data (PBEsol) for a relaxed CdFeI2 crystal.

Computed properties:
density of states at the Fermi level	0.84	states/eV per atom
raw total energy	-2.9016	eV per atom
magnetic moment	0.824	μB per atom

Unit cell a=5.1726 b=5.1726 c=5.1726 alpha=60.00 beta=60.00 gamma=60.00
Closest atoms and distances in Å follow each position.
Atoms (fractional coordinates):
1 Cd 0.0000 0.0000 0.0000  8 I 3.17
2 Fe 0.5000 0.5000 0.5000  8 I 3.17
3 I 0.2500 0.2500 0.2500  4 Cd 3.17, 4 Fe 3.17
4 I 0.7500 0.7500 0.7500  4 Cd 3.17, 4 Fe 3.17


(20)
Density functional theory data (PBEsol) for a relaxed YRuPb2 crystal.

Computed properties:
density of states at the Fermi level	0.77	states/eV per atom
raw total energy	-6.1960	eV per atom
magnetic moment	0.000	μB per atom

Unit cell a=4.4366 b=4.4366 c=4.4678 alpha=90.00 beta=90.00 gamma=90.00
Closest atoms and distances in Å follow each position.
Atoms (fractional coordinates):
1 Y 0.0000 0.0000 0.0000  4 Ru 3.14, 8 Pb 3.15
2 Ru 0.5000 0.5000 0.0000  4 Y 3.14, 8 Pb 3.15
3 Pb 0.0000 0.5000 0.5000  4 Pb 3.14, 4 Ru 3.15, 4 Y 3.15
4 Pb 0.5000 0.0000 0.5000  4 Pb 3.14, 4 Ru 3.15, 4 Y 3.15